Below is a relaxed Pm8TcAg2 crystal, with properties calculated at the PBE level.

```
data_Pm8TcAg2
_symmetry_space_group_name_H-M 'P 1'
_symmetry_Int_Tables_number 1
_cell_length_a 8.9199
_cell_length_b 8.9199
_cell_length_c 6.3609
_cell_angle_alpha 105.77
_cell_angle_beta 105.77
_cell_angle_gamma 125.80
loop_
_symmetry_equiv_pos_as_xyz
'x,y,z'
loop_
_atom_site_label
_atom_site_type_symbol
_atom_site_fract_x
_atom_site_fract_y
_atom_site_fract_z
Pm1 Pm 0.0000 0.0000 0.0000
Pm2 Pm 0.1638 0.9241 0.5712
Pm3 Pm 0.3979 0.6218 0.2359
Pm4 Pm 0.4507 0.4507 0.6692
Pm5 Pm 0.5339 0.9150 0.9000
Pm6 Pm 0.6218 0.3979 0.2359
Pm7 Pm 0.9150 0.5339 0.9000
Pm8 Pm 0.9241 0.1638 0.5712
Tc1 Tc 0.7750 0.7750 0.1788
Ag1 Ag 0.0353 0.4546 0.3558
Ag2 Ag 0.4546 0.0353 0.3558
```

The value obtained for the formation energy from the elements is -16 meV/atom. The energy above the lowest structure with this stoichiometry is 39 meV/atom.